[1]
A plane-wave DFT calculation with GGA-PBE was carried out for a relaxed structure of Ac3Ga5Cu6.

Values from the calculation:
**DOS at the Fermi energy**: 6.6 states/eV/cell
**Crystal system**: orthorhombic
**Space-group type**: Immm, No. 71
**Formation energy**: -0.32 eV/atom

```
14
Lattice="-3.805 -0.733 -2.304 1.295 -7.107 -4.290 -3.528 -6.743 3.560" Properties=species:S:1:pos:R:3 pbc="T T T"
Ac 0.000 0.000 0.000
Ac -3.324 -4.747 -1.823
Ac -2.714 -9.835 -1.212
Ga -5.119 -12.026 -0.956
Ga -0.920 -2.556 -2.079
Ga -3.665 -12.136 -3.321
Ga -2.374 -2.446 0.287
Ga -1.117 -6.925 -0.365
Cu -2.034 -7.365 -3.120
Cu -4.004 -7.217 0.086
Cu -5.784 -9.227 -0.747
Cu -0.255 -5.355 -2.287
Cu -3.665 -9.387 -4.195
Cu -2.374 -5.195 1.161
```



[2]
A plane-wave DFT calculation with GGA-PBE was carried out for a relaxed structure of Ac5Ga2Cu2.

Values from the calculation:
**DOS at the Fermi energy**: 16.8 states/eV/cell
**Crystal system**: orthorhombic
**Space-group type**: Cmce, No. 64
**Formation energy**: -0.20 eV/atom

```
18
Lattice="8.484 0.000 0.000 0.000 8.140 0.000 0.000 -4.070 8.261" Properties=species:S:1:pos:R:3 pbc="T T T"
Ac 0.000 0.000 0.000
Ac 4.242 4.070 0.000
Ac 7.016 5.477 2.285
Ac 1.468 2.662 2.285
Ac 2.774 6.732 2.285
Ac 5.710 1.407 2.285
Ac 1.468 -1.407 5.976
Ac 7.016 1.407 5.976
Ac 5.710 -2.662 5.976
Ac 2.774 2.662 5.976
Ga 0.000 0.000 3.443
Ga 4.242 4.070 3.443
Ga 0.000 4.070 4.818
Ga 4.242 0.000 4.818
Cu 5.175 7.225 0.000
Cu 3.309 0.915 0.000
Cu 0.933 4.984 0.000
Cu 7.551 3.155 0.000
```



[3]
A plane-wave DFT calculation with GGA-PBE was carried out for a relaxed structure of Ac2GaCu2.

Values from the calculation:
**DOS at the Fermi energy**: 9.0 states/eV/cell
**Distance to the lowest polymorph of the same formula**: 0.000 eV/atom
**Crystal system**: monoclinic
**Space-group type**: C2/m, No. 12
**Formation energy**: -0.27 eV/atom

```
10
Lattice="-2.123 1.801 3.578 -5.972 0.565 -0.956 -2.404 -8.205 5.574" Properties=species:S:1:pos:R:3 pbc="T T T"
Ac -4.021 -1.422 4.074
Ac -5.786 -5.504 7.953
Ac -6.478 -4.417 4.123
Ac -4.713 -0.335 0.244
Ga -3.564 -4.162 5.724
Ga -6.935 -1.677 2.473
Cu -3.212 -4.347 3.154
Cu -8.733 -5.652 6.279
Cu -7.287 -1.492 5.043
Cu -1.767 -0.187 1.918
```